No. 1
DFT (PBE-GGA) results for crystalline Ac4Ni2Au5 at its relaxed geometry.

a b c (Å): 7.578 4.215 9.035
angles (deg): 90.00 90.87 90.00
Space group P2/m (No. 10)
Symmetry-distinct sites (fractional):
Ac 0.222 0.000 0.141 x2
Ac 0.245 0.000 0.614 x2
Ni 0.056 0.500 0.379 x2
Au 0.129 0.500 0.872 x2
Au 0.407 0.500 0.360 x2
Au 0.500 0.500 0.000 x1

Summary:
ΔH_f (0 K), eV per formula unit: -7.29
DOS at the Fermi energy, states/eV per cell: 7.46
Mass density, g cm⁻³: 11.6



No. 2
DFT (PBE-GGA) results for crystalline NaHgAs2Br at its relaxed geometry.

a b c (Å): 5.338 5.338 5.293
angles (deg): 90.00 90.00 90.00
Space group P4/mmm (No. 123)
Symmetry-distinct sites (fractional):
Na 0.000 0.000 0.000 x1
Hg 0.500 0.500 0.500 x1
As 0.000 0.500 0.000 x2
Br 0.000 0.000 0.500 x1

Summary:
ΔE_f (raw), eV per atom: 0.659
DOS at the Fermi energy, states/eV per cell: 4.55
Mass density, g cm⁻³: 5.0
Distance to the lowest polymorph of the same formula, meV/atom: 384



No. 3
DFT (PBE-GGA) results for crystalline LaTbI6 at its relaxed geometry.

a b c (Å): 7.7776 7.7776 21.2026
angles (deg): 90.00 90.00 120.00
Space group R-3 (No. 148, hexagonal axes)
Symmetry-distinct sites (fractional):
La 0.0000 0.0000 0.0000 x3
Tb 0.0000 0.0000 0.5000 x3
I 0.0002 0.3240 0.5816 x18

Summary:
ΔE_f (raw), eV per atom: -1.399
DOS at the Fermi energy, states/eV per cell: 0.00
Mass density, g cm⁻³: 4.8
Distance to the lowest polymorph of the same formula, meV/atom: 22



No. 4
DFT (PBE-GGA) results for crystalline LiFeB2 at its relaxed geometry.

a b c (Å): 4.937 4.937 4.937
angles (deg): 90.00 90.00 90.00
Space group Fm-3m (No. 225)
Symmetry-distinct sites (fractional):
Li 0.000 0.000 0.000 x4
Fe 0.000 0.000 0.500 x4
B 0.250 0.250 0.250 x8

Summary:
ΔH_f (0 K), eV per formula unit: 0.98
DOS at the Fermi energy, states/eV per cell: 8.11
Mass density, g cm⁻³: 4.7
Distance to the lowest polymorph of the same formula, meV/atom: 0



No. 5
DFT (PBE-GGA) results for crystalline PuCd6Hg2 at its relaxed geometry.

a b c (Å): 4.432 4.432 11.105
angles (deg): 90.00 90.00 90.00
Space group P4/mmm (No. 123)
Symmetry-distinct sites (fractional):
Pu 0.000 0.000 0.000 x1
Cd 0.000 0.000 0.500 x1
Cd 0.000 0.500 0.299 x4
Cd 0.500 0.500 0.500 x1
Hg 0.500 0.500 0.126 x2

Summary:
ΔH_f (0 K), eV per formula unit: -0.15
DOS at the Fermi energy, states/eV per cell: 18.49
Mass density, g cm⁻³: 10.0
Distance to the lowest polymorph of the same formula, meV/atom: 22



No. 6
DFT (PBE-GGA) results for crystalline MgTl2VBr6 at its relaxed geometry.

a b c (Å): 7.363 7.513 12.908
angles (deg): 90.00 124.77 90.00
Space group P2_1/c (No. 14)
Symmetry-distinct sites (fractional):
Mg 0.000 0.000 0.000 x2
Tl 0.266 0.060 0.750 x4
V 0.500 0.000 0.500 x2
Br 0.186 0.001 0.253 x4
Br 0.240 0.704 0.032 x4
Br 0.329 0.209 0.032 x4

Summary:
ΔE_f (raw), eV per atom: -0.973
Mass density, g cm⁻³: 5.5